Record 1
VASP calculation (GGA-PBE) on a relaxed NdHoErPu crystal.

CIF file:
```
data_NdHoErPu
_cell_length_a 5.6192
_cell_length_b 5.6192
_cell_length_c 5.6192
_cell_angle_alpha 60.00
_cell_angle_beta 60.00
_cell_angle_gamma 60.00
_symmetry_space_group_name_H-M 'P 1'
_symmetry_Int_Tables_number 1
_symmetry_space_group_name_Hall 'P 1'
loop_
_atom_site_label
_atom_site_type_symbol
_atom_site_fract_x
_atom_site_fract_y
_atom_site_fract_z
Nd1 Nd 0.2500 0.2500 0.2500
Er1 Er 0.0000 0.0000 0.0000
Pu1 Pu 0.7500 0.7500 0.7500
Ho1 Ho 0.5000 0.5000 0.5000
```

- N(E_F) (states/eV/atom) = 2.932
- formation energy (eV per atom) = 0.206
- calculated density (g/cm3) = 9.5
- V (Å³ per atom) = 31.37

=====

Record 2
VASP calculation (GGA-PBE) on a relaxed NdHoErRu crystal.

CIF file:
```
data_NdHoErRu
_cell_length_a 3.4312
_cell_length_b 3.4312
_cell_length_c 9.0076
_cell_angle_alpha 90.00
_cell_angle_beta 90.00
_cell_angle_gamma 90.00
_symmetry_space_group_name_H-M 'P 1'
_symmetry_Int_Tables_number 1
_symmetry_space_group_name_Hall 'P 1'
loop_
_atom_site_label
_atom_site_type_symbol
_atom_site_fract_x
_atom_site_fract_y
_atom_site_fract_z
Ru1 Ru 0.0000 0.0000 0.5702
Er1 Er 0.5000 0.5000 0.3912
Nd1 Nd 0.0000 0.0000 0.0722
Ho1 Ho 0.5000 0.5000 0.7511
```

- N(E_F) (states/eV/atom) = 0.672
- formation energy (eV per atom) = -0.256
- calculated density (g/cm3) = 9.0
- V (Å³ per atom) = 26.51

=====

Record 3
VASP calculation (GGA-PBE) on a relaxed NdHo4ErS8 crystal.

CIF file:
```
data_NdHo4ErS8
_cell_length_a 8.0596
_cell_length_b 8.0596
_cell_length_c 8.0536
_cell_angle_alpha 59.98
_cell_angle_beta 59.98
_cell_angle_gamma 60.00
_symmetry_space_group_name_H-M 'P 1'
_symmetry_Int_Tables_number 1
_symmetry_space_group_name_Hall 'P 1'
loop_
_atom_site_label
_atom_site_type_symbol
_atom_site_fract_x
_atom_site_fract_y
_atom_site_fract_z
Ho1 Ho 0.5021 0.9992 0.4994
Ho2 Ho 0.9992 0.5021 0.4994
Ho3 Ho 0.9992 0.9992 0.4994
Ho4 Ho 0.6248 0.6248 0.1256
S1 S 0.2386 0.2386 0.2842
S2 S 0.7580 0.7580 0.2557
S3 S 0.2283 0.7580 0.2557
S4 S 0.7568 0.7568 0.7295
S5 S 0.2378 0.7848 0.7396
S6 S 0.7580 0.2283 0.2557
S7 S 0.2378 0.2378 0.7396
S8 S 0.7848 0.2378 0.7396
Er1 Er 0.9994 0.9994 0.0017
Nd1 Nd 0.3751 0.3751 0.8748
```

- N(E_F) (states/eV/atom) = 0.612
- calculated density (g/cm3) = 5.5
- V (Å³ per atom) = 26.41
- ΔE_f (raw) (eV per atom) = -1.923

=====

Record 4
VASP calculation (GGA-PBE) on a relaxed NdHo2ErS6 crystal.

CIF file:
```
data_NdHo2ErS6
_cell_length_a 6.9496
_cell_length_b 6.9496
_cell_length_c 7.3642
_cell_angle_alpha 61.84
_cell_angle_beta 61.85
_cell_angle_gamma 60.00
_symmetry_space_group_name_H-M 'P 1'
_symmetry_Int_Tables_number 1
_symmetry_space_group_name_Hall 'P 1'
loop_
_atom_site_label
_atom_site_type_symbol
_atom_site_fract_x
_atom_site_fract_y
_atom_site_fract_z
Ho1 Ho 0.0140 0.0140 0.9580
Ho2 Ho 0.5178 0.5178 0.4466
S1 S 0.7203 0.1329 0.7498
S2 S 0.3969 0.7203 0.7498
S3 S 0.1330 0.3969 0.7498
S4 S 0.2236 0.9163 0.2468
S5 S 0.9163 0.6133 0.2468
S6 S 0.6133 0.2237 0.2468
Nd1 Nd 0.8101 0.8101 0.5698
Er1 Er 0.3164 0.3164 0.0508
```

- N(E_F) (states/eV/atom) = 0.000
- calculated density (g/cm3) = 5.4
- V (Å³ per atom) = 25.83
- ΔE_f (raw) (eV per atom) = -2.047

=====

Record 5
VASP calculation (GGA-PBE) on a relaxed NdHo2ErS4 crystal.

CIF file:
```
data_NdHo2ErS4
_cell_length_a 3.8812
_cell_length_b 6.8060
_cell_length_c 6.8561
_cell_angle_alpha 71.12
_cell_angle_beta 90.00
_cell_angle_gamma 90.00
_symmetry_space_group_name_H-M 'P 1'
_symmetry_Int_Tables_number 1
_symmetry_space_group_name_Hall 'P 1'
loop_
_atom_site_label
_atom_site_type_symbol
_atom_site_fract_x
_atom_site_fract_y
_atom_site_fract_z
Ho1 Ho 0.0000 0.0000 0.0000
Ho2 Ho 0.5000 0.0000 0.5000
S1 S 0.5000 0.7540 0.2572
S2 S 0.0000 0.2393 0.2622
S3 S 0.5000 0.2460 0.7428
S4 S 0.0000 0.7607 0.7378
Er1 Er 0.0000 0.5000 0.5000
Nd1 Nd 0.5000 0.5000 0.0000
```

- N(E_F) (states/eV/atom) = 0.577
- calculated density (g/cm3) = 7.5
- V (Å³ per atom) = 21.42
- ΔE_f (raw) (eV per atom) = -1.973

=====

Record 6
VASP calculation (GGA-PBE) on a relaxed NdHoEr2S4 crystal.

CIF file:
```
data_NdHoEr2S4
_cell_length_a 3.8731
_cell_length_b 6.8423
_cell_length_c 6.8063
_cell_angle_alpha 71.16
_cell_angle_beta 90.00
_cell_angle_gamma 90.00
_symmetry_space_group_name_H-M 'P 1'
_symmetry_Int_Tables_number 1
_symmetry_space_group_name_Hall 'P 1'
loop_
_atom_site_label
_atom_site_type_symbol
_atom_site_fract_x
_atom_site_fract_y
_atom_site_fract_z
S1 S 0.0000 0.7635 0.7379
S2 S 0.5000 0.7577 0.2546
S3 S 0.0000 0.2365 0.2621
S4 S 0.5000 0.2423 0.7454
Er1 Er 0.5000 0.0000 0.5000
Er2 Er 0.0000 0.0000 0.0000
Ho1 Ho 0.0000 0.5000 0.5000
Nd1 Nd 0.5000 0.5000 0.0000
```

- N(E_F) (states/eV/atom) = 0.584
- calculated density (g/cm3) = 7.5
- V (Å³ per atom) = 21.34
- ΔE_f (raw) (eV per atom) = -1.971

=====

Looking at VASP energy for the records above, in order, we have -6.854 -6.052 -6.256 -6.372 -6.348 -6.344 eV per atom.